1.
# Hf3TaGa PBE-GGA optimized geometry
data_Hf3TaGa
_cell_length_a 4.900
_cell_length_b 4.900
_cell_length_c 4.900
_cell_angle_alpha 90.00
_cell_angle_beta 90.00
_cell_angle_gamma 90.00
_symmetry_space_group_name_H-M 'P 1'
_symmetry_Int_Tables_number 1
loop_
_symmetry_equiv_pos_as_xyz
'x,y,z'
loop_
_atom_site_label
_atom_site_type_symbol
_atom_site_fract_x
_atom_site_fract_y
_atom_site_fract_z
Hf1 Hf 0.000 0.000 0.500
Hf2 Hf 0.000 0.500 0.000
Hf3 Hf 0.500 0.000 0.000
Ta1 Ta 0.500 0.500 0.500
Ga1 Ga 0.000 0.000 0.000
# Offset from the most stable computed form   0.000 eV/f.u.
# Formation energy from the elements   84.48 kJ per mole of atoms

=====

2.
# Ag7HgPd2 PBE-GGA optimized geometry
data_Ag7HgPd2
_cell_length_a 7.769
_cell_length_b 7.769
_cell_length_c 4.575
_cell_angle_alpha 90.00
_cell_angle_beta 90.00
_cell_angle_gamma 122.34
_symmetry_space_group_name_H-M 'P 1'
_symmetry_Int_Tables_number 1
loop_
_symmetry_equiv_pos_as_xyz
'x,y,z'
loop_
_atom_site_label
_atom_site_type_symbol
_atom_site_fract_x
_atom_site_fract_y
_atom_site_fract_z
Ag1 Ag 0.000 0.000 0.000
Ag2 Ag 0.206 0.428 0.000
Ag3 Ag 0.297 0.703 0.500
Ag4 Ag 0.428 0.206 0.000
Ag5 Ag 0.572 0.794 0.000
Ag6 Ag 0.703 0.297 0.500
Ag7 Ag 0.794 0.572 0.000
Hg1 Hg 0.500 0.500 0.500
Pd1 Pd 0.202 0.798 0.000
Pd2 Pd 0.798 0.202 0.000
# Formation energy from the elements   32.87 kJ per mole of atoms

=====

3.
# Al2TeIr PBE-GGA optimized geometry
data_Al2TeIr
_cell_length_a 4.438
_cell_length_b 4.438
_cell_length_c 5.196
_cell_angle_alpha 95.71
_cell_angle_beta 95.71
_cell_angle_gamma 56.07
_symmetry_space_group_name_H-M 'P 1'
_symmetry_Int_Tables_number 1
loop_
_symmetry_equiv_pos_as_xyz
'x,y,z'
loop_
_atom_site_label
_atom_site_type_symbol
_atom_site_fract_x
_atom_site_fract_y
_atom_site_fract_z
Al1 Al 0.183 0.183 0.092
Al2 Al 0.817 0.817 0.908
Te1 Te 0.000 0.000 0.500
Ir1 Ir 0.500 0.500 0.000
# E_form (uncorrected)   -149 meV per atom

=====

4.
# Ge2SbHAu PBE-GGA optimized geometry
data_Ge2SbHAu
_cell_length_a 4.997
_cell_length_b 4.997
_cell_length_c 5.569
_cell_angle_alpha 90.00
_cell_angle_beta 90.00
_cell_angle_gamma 90.00
_symmetry_space_group_name_H-M 'P 1'
_symmetry_Int_Tables_number 1
loop_
_symmetry_equiv_pos_as_xyz
'x,y,z'
loop_
_atom_site_label
_atom_site_type_symbol
_atom_site_fract_x
_atom_site_fract_y
_atom_site_fract_z
Ge1 Ge 0.000 0.500 0.000
Ge2 Ge 0.500 0.000 0.000
Sb1 Sb 0.000 0.000 0.500
H1 H 0.500 0.500 0.500
Au1 Au 0.000 0.000 0.000
# Offset from the most stable computed form   3.443 eV/f.u.

=====

The records above give, respectively, electronic total energy values of -8.07, -2.72, -5.02, -2.91 eV per atom.